Ho5Hf3H12, optimized geometry, DFT PBE; magnetic moment = 0.000 μB per atom; calculated total energy = -5.0358 eV per atom
1.0
-2.1765 -6.6918 8.1534
2.8790 -5.7141 -8.6635
8.0567 6.5743 2.8042
Hf Ho H
12 20 48
Direct
0.7500 0.3750 0.1250
0.8750 0.7500 0.1250
0.3750 0.7500 0.6250
0.2500 0.1250 0.3750
0.8750 0.1250 0.2500
0.3750 0.6250 0.2500
0.6250 0.3750 0.7500
0.1250 0.8750 0.7500
0.7500 0.8750 0.6250
0.6250 0.2500 0.3750
0.1250 0.2500 0.8750
0.2500 0.6250 0.8750
0.1250 0.3750 0.2500
0.0000 0.5000 0.0000
0.0000 0.0000 0.0000
0.3750 0.2500 0.1250
0.5000 0.0000 0.5000
0.5000 0.5000 0.0000
0.1250 0.7500 0.3750
0.7500 0.1250 0.8750
0.7500 0.6250 0.3750
0.3750 0.1250 0.7500
0.6250 0.8750 0.2500
0.5000 0.5000 0.5000
0.5000 0.0000 0.0000
0.0000 0.0000 0.5000
0.2500 0.3750 0.6250
0.2500 0.8750 0.1250
0.0000 0.5000 0.5000
0.8750 0.2500 0.6250
0.6250 0.7500 0.8750
0.8750 0.6250 0.7500
0.7312 0.1635 0.0780
0.3468 0.5780 0.4145
0.9220 0.3365 0.2688
0.5780 0.2312 0.1635
0.5677 0.7312 0.6532
0.9220 0.5855 0.1532
0.3468 0.7688 0.4323
0.0855 0.9323 0.1635
0.5855 0.9220 0.6532
0.7312 0.5677 0.1532
0.7688 0.4220 0.3365
0.8468 0.9145 0.0780
0.1635 0.7312 0.5780
0.3365 0.4145 0.0677
0.0677 0.9145 0.3365
0.4323 0.1635 0.5855
0.0677 0.1532 0.2312
0.4220 0.6532 0.0855
0.8468 0.9323 0.2688
0.1635 0.4323 0.0855
0.3365 0.9220 0.7688
0.5855 0.6635 0.4323
0.9145 0.8468 0.5780
0.7688 0.3468 0.9323
0.4145 0.3365 0.5677
0.0855 0.1532 0.4220
0.2312 0.6532 0.0677
0.1532 0.0677 0.7312
0.6635 0.0780 0.2312
0.8365 0.5677 0.9145
0.5780 0.3468 0.9145
0.5677 0.8365 0.4145
0.9323 0.8468 0.7688
0.9323 0.0855 0.6635
0.8365 0.2688 0.4220
0.1532 0.0855 0.9220
0.6635 0.5855 0.9323
0.4145 0.0780 0.3468
0.2688 0.4323 0.8468
0.2312 0.5780 0.6635
0.9145 0.0677 0.8365
0.6532 0.2312 0.5677
0.4220 0.7688 0.8365
0.0780 0.4145 0.8468
0.4323 0.2688 0.3468
0.0780 0.6635 0.7312
0.6532 0.4220 0.5855
0.2688 0.8365 0.9220



HfHI2, optimized geometry, DFT PBE; magnetic moment = 0.250 μB per atom; calculated total energy = -3.7980 eV per atom
1.0
0.4642 -4.6924 -1.6807
-1.4850 -3.8380 2.8502
-4.0741 -2.6226 -1.2581
I H Hf
2 1 1
Direct
0.2500 0.2500 0.2500
0.7500 0.7500 0.7500
0.0000 0.0000 0.0000
0.5000 0.5000 0.5000



Hf2HI2, optimized geometry, DFT PBE; magnetic moment = 0.000 μB per atom; calculated total energy = -4.5055 eV per atom
1.0
8.1221 0.0000 0.0000
0.0000 8.1221 0.0000
0.0000 0.0000 3.4703
I H Hf
4 2 4
Direct
0.3520 0.8520 0.0000
0.8520 0.6480 0.0000
0.6480 0.1480 0.0000
0.1480 0.3520 0.0000
0.0000 0.0000 0.0000
0.5000 0.5000 0.0000
0.1488 0.6488 0.5000
0.6488 0.8512 0.5000
0.8512 0.3512 0.5000
0.3512 0.1488 0.5000



Hf2H2I7, optimized geometry, DFT PBE; magnetic moment = 0.181 μB per atom; calculated total energy = -3.5818 eV per atom
1.0
4.2277 6.4569 -0.1613
-4.2277 6.4569 -0.1613
0.0000 -0.0718 7.7987
Hf H I
2 2 7
Direct
0.7592 0.7592 0.9592
0.2408 0.2408 0.0408
0.2091 0.7909 0.5000
0.7909 0.2091 0.5000
0.4845 0.9161 0.2326
0.0839 0.5155 0.7674
0.5155 0.0839 0.7674
0.9161 0.4845 0.2326
0.0000 0.0000 0.0000
0.5737 0.5737 0.7893
0.4263 0.4263 0.2107



HfHI2, optimized geometry, DFT PBE; magnetic moment = 0.000 μB per atom; calculated total energy = -3.6894 eV per atom
1.0
6.1623 0.0000 0.0000
0.0000 6.1623 0.0000
3.0811 3.0811 5.4313
I H Hf
4 2 2
Direct
0.5704 0.1250 0.2500
0.1796 0.6250 0.2500
0.3750 0.4296 0.7500
0.8750 0.8204 0.7500
0.5000 0.5000 0.0000
0.2500 0.7500 0.5000
0.0000 0.0000 0.0000
0.7500 0.2500 0.5000



HfHI2, optimized geometry, DFT PBE; magnetic moment = 0.000 μB per atom; calculated total energy = -4.5973 eV per atom
1.0
3.5865 0.0000 0.7940
1.7071 3.1559 0.7863
-0.0498 -0.0038 8.7219
Hf H I
1 1 2
Direct
0.4693 0.2321 0.8293
0.1359 0.8988 0.8294
0.8873 0.6508 0.5746
0.7179 0.4802 0.0840



HfH2I6, optimized geometry, DFT PBE; magnetic moment = 0.000 μB per atom; calculated total energy = -3.3696 eV per atom
1.0
-2.6318 1.4924 6.4021
-1.1313 -10.1947 2.3762
9.3357 -1.4627 4.6435
Hf H I
2 4 12
Direct
0.2500 0.0969 0.9031
0.7500 0.9031 0.0969
0.0451 0.6138 0.6587
0.4549 0.3413 0.3862
0.9549 0.3862 0.3413
0.5451 0.6587 0.6138
0.3549 0.7281 0.5440
0.1451 0.4560 0.2719
0.6451 0.2719 0.4560
0.8549 0.5440 0.7281
0.8832 0.8853 0.3367
0.6168 0.6633 0.1147
0.1168 0.1147 0.6633
0.3832 0.3367 0.8853
0.0917 0.8317 0.9652
0.4083 0.0348 0.1683
0.9083 0.1683 0.0348
0.5917 0.9652 0.8317



HfH3I6, optimized geometry, DFT PBE; magnetic moment = 0.096 μB per atom; calculated total energy = -3.1801 eV per atom
1.0
-5.2497 4.5680 4.5165
-1.6729 -8.7020 -2.3286
3.5473 3.6977 6.3120
Hf H I
1 3 6
Direct
0.4838 0.9728 0.4871
0.7264 0.5665 0.1006
0.2261 0.3606 0.8610
0.2195 0.2518 0.0640
0.6407 0.9182 0.0829
0.6530 0.7253 0.4099
0.3024 0.0475 0.9204
0.2972 0.2171 0.5704
0.1408 0.5536 0.2509
0.8100 0.3866 0.7527



HfH2I2, optimized geometry, DFT PBE; magnetic moment = 0.000 μB per atom; calculated total energy = -4.3906 eV per atom
1.0
-1.6179 3.1800 -0.5391
-1.9463 0.5504 -2.9891
-8.9305 -2.3022 1.1449
Hf H I
1 2 2
Direct
0.0000 0.5000 0.5000
0.6674 0.2090 0.4562
0.3326 0.7910 0.5438
0.3380 0.0949 0.2292
0.6620 0.9051 0.7708



HfH3I, optimized geometry, DFT PBE; magnetic moment = 0.000 μB per atom; energy above the most stable polymorph in this dataset = 0 meV per atom; calculated total energy = -4.2958 eV per atom
1.0
-2.8315 2.8000 -0.3680
-2.7854 -2.8548 -0.2899
-0.4657 0.0510 3.9716
I H Hf
1 3 1
Direct
0.5000 0.5000 0.5000
0.0000 0.5000 0.0000
0.0000 0.0000 0.5000
0.5000 0.0000 0.0000
0.0000 0.0000 0.0000



HfH3I, optimized geometry, DFT PBE; magnetic moment = 0.000 μB per atom; energy above the most stable polymorph in this dataset = 1365 meV per atom; calculated total energy = -2.9312 eV per atom
1.0
3.9987 0.0000 0.0000
0.0000 3.9987 0.0000
0.0000 0.0000 3.9987
I H Hf
1 3 1
Direct
0.0000 0.0000 0.0000
0.0000 0.5000 0.0000
0.0000 0.0000 0.5000
0.5000 0.0000 0.0000
0.5000 0.5000 0.5000



HfMg2HI, optimized geometry, DFT PBE; magnetic moment = 0.000 μB per atom; calculated total energy = -2.0638 eV per atom
1.0
-3.6774 -0.7351 -4.3220
0.1948 -5.2085 0.7201
-4.3790 0.3433 3.6674
I H Mg Hf
1 1 2 1
Direct
0.0000 0.0000 0.0000
0.5000 0.5000 0.5000
0.0000 0.0000 0.5000
0.5000 0.0000 0.0000
0.0000 0.5000 0.0000



HfHI2O, optimized geometry, DFT PBE; magnetic moment = 0.201 μB per atom; energy above the most stable polymorph in this dataset = 0 meV per atom; calculated total energy = -5.0995 eV per atom
1.0
-0.9587 -2.7170 -5.0594
5.6963 0.2015 -1.1875
0.4975 -3.5105 1.7909
I H Hf O
2 1 1 1
Direct
0.0000 0.5000 0.0000
0.5000 0.0000 0.0000
0.5000 0.5000 0.5000
0.0000 0.0000 0.0000
0.0000 0.0000 0.5000



HfHI2O, optimized geometry, DFT PBE; magnetic moment = 0.000 μB per atom; energy above the most stable polymorph in this dataset = 1218 meV per atom; calculated total energy = -3.8813 eV per atom
1.0
5.2363 0.0000 0.0000
0.0000 5.2363 0.0000
0.0000 0.0000 3.2888
I H Hf O
2 1 1 1
Direct
0.0000 0.5000 0.0000
0.5000 0.0000 0.0000
0.0000 0.0000 0.0000
0.5000 0.5000 0.5000
0.0000 0.0000 0.5000



HfHPb2I, optimized geometry, DFT PBE; magnetic moment = 0.000 μB per atom; calculated total energy = -4.2816 eV per atom
1.0
6.0056 0.0000 0.0000
0.0000 3.7863 0.0000
0.0000 0.0000 6.0056
Pb I Hf H
2 1 1 1
Direct
0.0000 0.0000 0.5000
0.5000 0.0000 0.0000
0.5000 0.5000 0.5000
0.0000 0.0000 0.0000
0.0000 0.5000 0.0000



Rb2HfHI6, optimized geometry, DFT PBE; magnetic moment = 0.000 μB per atom; calculated total energy = -3.2855 eV per atom
1.0
8.9565 0.0000 0.0000
0.0000 8.9565 0.0000
4.4783 4.4783 5.0861
I H Hf Rb
6 1 1 2
Direct
0.2904 0.2904 0.4193
0.7096 0.7096 0.5807
0.2255 0.2255 0.0000
0.7745 0.7745 0.0000
0.7745 0.2255 0.0000
0.2255 0.7745 0.0000
0.5000 0.5000 0.0000
0.0000 0.0000 0.0000
0.7500 0.2500 0.5000
0.2500 0.7500 0.5000



HfHSI, optimized geometry, DFT PBE; magnetic moment = 0.000 μB per atom; calculated total energy = -5.7427 eV per atom
1.0
-2.2019 -2.8788 0.2129
3.1350 -0.2428 -1.8148
3.7457 -0.1086 6.5079
Hf H S I
1 1 1 1
Direct
0.8202 0.2746 0.0948
0.5047 0.6169 0.1216
0.0152 0.8714 0.8866
0.3521 0.0415 0.3936



HfSbHI2, optimized geometry, DFT PBE; magnetic moment = 0.047 μB per atom; energy above the most stable polymorph in this dataset = 0 meV per atom; calculated total energy = -3.7847 eV per atom
1.0
5.7531 0.0000 0.0000
0.0000 5.7531 0.0000
0.0000 0.0000 5.5969
I Sb Hf H
2 1 1 1
Direct
0.0000 0.5000 0.0000
0.5000 0.0000 0.0000
0.0000 0.0000 0.5000
0.0000 0.0000 0.0000
0.5000 0.5000 0.5000



HfSb2HI, optimized geometry, DFT PBE; magnetic moment = 0.195 μB per atom; energy above the most stable polymorph in this dataset = 91 meV per atom; calculated total energy = -4.0819 eV per atom
1.0
5.5356 0.0000 0.0000
0.0000 5.5356 0.0000
0.0000 0.0000 5.8321
I Sb Hf H
1 2 1 1
Direct
0.0000 0.0000 0.5000
0.0000 0.5000 0.0000
0.5000 0.0000 0.0000
0.0000 0.0000 0.0000
0.5000 0.5000 0.5000



HfSbHI2, optimized geometry, DFT PBE; magnetic moment = 0.000 μB per atom; energy above the most stable polymorph in this dataset = 211 meV per atom; calculated total energy = -3.5739 eV per atom
1.0
5.4189 0.0000 0.0000
0.0000 5.4189 0.0000
0.0000 0.0000 3.8908
I Sb Hf H
2 1 1 1
Direct
0.0000 0.5000 0.0000
0.5000 0.0000 0.0000
0.0000 0.0000 0.5000
0.5000 0.5000 0.5000
0.0000 0.0000 0.0000